Record 1
VASP calculation (GGA-PBE) on a relaxed structure of SrAc3Pd3.

Computed properties:
* ΔE_f: -665 meV/atom
* total magnetic moment: 0.000 μB/atom
* distance to the lowest polymorph of the same formula: 0 meV per atom
* SG: Cmcm (63)
* density of states at the Fermi level: 0.6690 states/eV per atom

The structure in extended XYZ format:
```
14
Lattice="6.261 -6.234 0.000 6.261 6.234 0.000 0.000 0.000 6.191" Properties=species:S:1:pos:R:3 pbc="T T T"
Sr 6.261 4.679 4.643
Sr 6.261 -4.679 1.548
Ac 3.215 1.582 4.643
Ac 6.261 1.458 1.548
Ac 3.215 -1.582 1.548
Ac 9.306 1.582 4.643
Ac 6.261 -1.458 4.643
Ac 9.306 -1.582 1.548
Pd 3.142 1.532 1.548
Pd 6.261 1.592 4.643
Pd 3.142 -1.532 4.643
Pd 9.380 1.532 1.548
Pd 6.261 -1.592 1.548
Pd 9.380 -1.532 4.643
```



Record 2
VASP calculation (GGA-PBE) on a relaxed structure of SrAc2Pd2.

Computed properties:
* ΔE_f: -617 meV/atom
* total magnetic moment: 0.000 μB/atom
* distance to the lowest polymorph of the same formula: 0 meV per atom
* SG: P4/mbm (127)
* density of states at the Fermi level: 0.5689 states/eV per atom

The structure in extended XYZ format:
```
10
Lattice="8.422 0.000 0.000 0.000 8.422 0.000 0.000 0.000 4.347" Properties=species:S:1:pos:R:3 pbc="T T T"
Sr 0.000 0.000 0.000
Sr 4.211 4.211 0.000
Ac 1.369 2.842 2.174
Ac 2.842 7.053 2.174
Ac 5.580 1.369 2.174
Ac 7.053 5.580 2.174
Pd 1.089 5.300 0.000
Pd 3.122 1.089 0.000
Pd 5.300 7.333 0.000
Pd 7.333 3.122 0.000
```



What did the second record say?
VASP calculation (GGA-PBE) on a relaxed structure of SrAc2Pd2.

Computed properties:
* ΔE_f: -617 meV/atom
* total magnetic moment: 0.000 μB/atom
* distance to the lowest polymorph of the same formula: 0 meV per atom
* SG: P4/mbm (127)
* density of states at the Fermi level: 0.5689 states/eV per atom

The structure in extended XYZ format:
```
10
Lattice="8.422 0.000 0.000 0.000 8.422 0.000 0.000 0.000 4.347" Properties=species:S:1:pos:R:3 pbc="T T T"
Sr 0.000 0.000 0.000
Sr 4.211 4.211 0.000
Ac 1.369 2.842 2.174
Ac 2.842 7.053 2.174
Ac 5.580 1.369 2.174
Ac 7.053 5.580 2.174
Pd 1.089 5.300 0.000
Pd 3.122 1.089 0.000
Pd 5.300 7.333 0.000
Pd 7.333 3.122 0.000
```



What is the density of states at the Fermi level in the second record?
0.5689 states/eV per atom



What is the formula in the second record?
SrAc2Pd2